# 1
Below is Tb2ZrRu3 after structural relaxation, with properties calculated at the PBE level.

Values from the calculation:
Energy = -96.33 eV per cell
DFT formation energy = -0.42 eV/atom
Space-group type = No. 65
D(E_F) = 0.62 states/eV/atom

The structure in POSCAR format:
```
Tb2ZrRu3
1.0
-3.856 2.360 1.470
-4.142 1.758 -6.001
-3.352 -5.851 0.600
Zr Ru Tb
2 6 4
direct
0.668 0.664 0.000
0.332 0.336 0.000
0.829 0.341 0.765
0.171 0.659 0.235
0.500 0.000 0.760
0.171 0.659 0.765
0.500 0.000 0.240
0.829 0.341 0.235
0.000 0.000 0.500
0.000 0.000 0.000
0.334 0.333 0.500
0.666 0.667 0.500
```

# 2
Below is Cd4SbAs after structural relaxation, with properties calculated at the PBE level.

Values from the calculation:
Energy = -10.78 eV per cell
Energy above the most stable polymorph in this dataset = 1.39 eV/f.u.
Space-group type = No. 216
D(E_F) = 0.81 states/eV/atom
Formation energy from raw total energies = 26.6 kJ per mole of atoms

The structure in POSCAR format:
```
Cd4SbAs
1.0
0.000 4.141 4.141
4.141 0.000 4.141
4.141 4.141 0.000
Sb As Cd
1 1 4
direct
0.750 0.750 0.750
0.000 0.000 0.000
0.375 0.375 0.375
0.375 0.375 0.876
0.876 0.375 0.375
0.375 0.876 0.375
```